Entry 1:
TmSnAu4 | PBE-GGA | optimized geometry

CIF file:
```
data_TmSnAu4
_chemical_formula_sum 'Tm1 Sn1 Au4'
_cell_length_a 4.7984
_cell_length_b 4.7984
_cell_length_c 6.2833
_cell_angle_alpha 90.00
_cell_angle_beta 90.00
_cell_angle_gamma 120.00
_space_group_name_H-M_alt 'P 6/m m m'
_space_group_IT_number 191
_space_group_name_Hall '-P 6 2'
loop_
_atom_site_label
_atom_site_type_symbol
_atom_site_fract_x
_atom_site_fract_y
_atom_site_fract_z
Tm1 Tm 0.0000 0.0000 0.0000
Sn1 Sn 0.0000 0.0000 0.5000
Au1 Au 0.3333 0.6667 0.2425
```

Output
ΔE to the lowest computed polymorph = 0.0 kJ/mol of atoms
magnetization = 0.00 μB per formula unit
formation energy = -2.7 eV/f.u.
V = 20.9 A^3/atom

Entry 2:
EuTmHg2 | PBE-GGA | optimized geometry

CIF file:
```
data_EuTmHg2
_chemical_formula_sum 'Eu1 Tm1 Hg2'
_cell_length_a 3.7613
_cell_length_b 3.7613
_cell_length_c 7.6283
_cell_angle_alpha 90.00
_cell_angle_beta 90.00
_cell_angle_gamma 90.00
_space_group_name_H-M_alt 'P 4/m m m'
_space_group_IT_number 123
_space_group_name_Hall '-P 4 2'
loop_
_atom_site_label
_atom_site_type_symbol
_atom_site_fract_x
_atom_site_fract_y
_atom_site_fract_z
Eu1 Eu 0.0000 0.0000 0.0000
Tm1 Tm 0.0000 0.0000 0.5000
Hg1 Hg 0.5000 0.5000 0.2759
```

Output
magnetization = 7.14 μB per formula unit
formation energy = -2.0 eV/f.u.
V = 27.0 A^3/atom

Entry 3:
Te7C5 | PBE-GGA | optimized geometry

CIF file:
```
data_Te7C5
_chemical_formula_sum 'Te14 C10'
_cell_length_a 11.1006
_cell_length_b 11.1006
_cell_length_c 6.3506
_cell_angle_alpha 90.00
_cell_angle_beta 90.00
_cell_angle_gamma 90.00
_space_group_name_H-M_alt 'I 4 m m'
_space_group_IT_number 107
_space_group_name_Hall 'I 4 -2'
loop_
_atom_site_label
_atom_site_type_symbol
_atom_site_fract_x
_atom_site_fract_y
_atom_site_fract_z
Te1 Te 0.0000 0.0000 0.0000
Te2 Te 0.0000 0.2319 0.3885
Te3 Te 0.0000 0.5000 0.0490
C1 C 0.0000 0.0000 0.6417
C2 C 0.0982 0.0982 0.5611
```

Output
formation energy from raw total energies = 1.378 eV per atom
magnetization = 0.00 μB per formula unit
V = 32.6 A^3/atom